(1)
A geometry-optimized KPOs2 structure. Source: Alexandria via LeMat-Bulk, functional GGA-PBE.

a b c (Å): 4.948 4.948 8.704
angles (deg): 73.49 73.49 90.00
Element x y z (fractional)
P1 0.500 0.500 0.000
P2 0.250 0.750 0.500
K1 0.000 0.000 0.000
K2 0.750 0.250 0.500
Os1 0.375 0.125 0.250
Os2 0.375 0.625 0.250
Os3 0.375 0.625 0.750
Os4 0.875 0.625 0.750

Computed properties:
- D(E_F) (states/eV per cell) = 7.68
- offset from the most stable computed form (meV/atom) = 388.4
- SG = I4_1/amd

(2)
A geometry-optimized KPOs2 structure. Source: Alexandria via LeMat-Bulk, functional GGA-PBE.

a b c (Å): 9.671 9.671 9.671
angles (deg): 17.22 17.22 17.22
Element x y z (fractional)
K1 0.753 0.753 0.753
Os1 0.986 0.986 0.986
Os2 0.242 0.242 0.242
P1 0.518 0.518 0.518

Computed properties:
- D(E_F) (states/eV per cell) = 3.05
- offset from the most stable computed form (meV/atom) = 129.7
- SG = R3m

(3)
A geometry-optimized KPOs2 structure. Source: Alexandria via LeMat-Bulk, functional GGA-PBE.

a b c (Å): 9.375 9.375 9.375
angles (deg): 17.99 17.99 17.99
Element x y z (fractional)
K1 0.750 0.750 0.750
Os1 0.977 0.977 0.977
Os2 0.523 0.523 0.523
P1 0.250 0.250 0.250

Computed properties:
- D(E_F) (states/eV per cell) = 3.02
- offset from the most stable computed form (meV/atom) = 192.3
- SG = R-3m

(4)
A geometry-optimized KPOs2 structure. Source: Alexandria via LeMat-Bulk, functional GGA-PBE.

a b c (Å): 2.594 4.950 5.583
angles (deg): 90.00 90.00 90.00
Element x y z (fractional)
K1 0.000 0.500 0.500
Os1 0.000 0.000 0.000
Os2 0.500 0.500 0.000
P1 0.500 0.000 0.500

Computed properties:
- D(E_F) (states/eV per cell) = 3.35
- offset from the most stable computed form (meV/atom) = 946.7
- SG = Pmmm

Values of formation enthalpy at 0 K, in order: 0.78 0.52 0.58 1.34, all in eV/atom.
Values of total DFT energy (no corrections), in order: -6.4625 -6.7213 -6.6587 -5.9043, all in eV per atom.